{"formula": "BaLi3", "functional": "GGA-PBE", "state": "relaxed", "cell": [[5.7985, 0.0000, 0.0000], [0.0000, 5.7985, 0.0000], [0.0000, 0.0000, 4.0153]], "species": ["Ba", "Li", "Li", "Li"], "frac_coords": [[0.0000, 0.0000, 0.0000], [0.0000, 0.5000, 0.5000], [0.5000, 0.0000, 0.5000], [0.5000, 0.5000, 0.0000]], "total_magnetization_mub_per_fu": 0.00, "formation_enthalpy_0k_ev_per_atom": 0.176, "density_g_cm3": 1.945, "dft_energy_ev_per_cell": -6.96}

{"formula": "BaLi2", "functional": "GGA-PBE", "state": "relaxed", "cell": [[6.7359, 0.0000, 0.0000], [0.0000, 5.9109, 0.0000], [0.0000, 0.0000, 10.4031]], "species": ["Ba", "Ba", "Ba", "Ba", "Li", "Li", "Li", "Li", "Li", "Li", "Li", "Li"], "frac_coords": [[0.0946, 0.2500, 0.1327], [0.4054, 0.7500, 0.6327], [0.5946, 0.2500, 0.3673], [0.9054, 0.7500, 0.8673], [0.0931, 0.2500, 0.5136], [0.2274, 0.7500, 0.2986], [0.2726, 0.2500, 0.7986], [0.4069, 0.7500, 0.0136], [0.5931, 0.2500, 0.9864], [0.7274, 0.7500, 0.2014], [0.7726, 0.2500, 0.7014], [0.9069, 0.7500, 0.4864]], "total_magnetization_mub_per_fu": 0.00, "formation_enthalpy_0k_ev_per_atom": 0.054, "density_g_cm3": 2.425, "dft_energy_ev_per_cell": -22.35}

{"formula": "Ba2Li", "functional": "GGA-PBE", "state": "relaxed", "cell": [[0.0000, 4.3382, 4.3382], [4.3382, 0.0000, 4.3382], [4.3382, 4.3382, 0.0000]], "species": ["Ba", "Ba", "Li"], "frac_coords": [[0.2500, 0.2500, 0.2500], [0.7500, 0.7500, 0.7500], [0.0000, 0.0000, 0.0000]], "total_magnetization_mub_per_fu": 0.00, "formation_enthalpy_0k_ev_per_atom": 0.178, "de_polymorph_mev_per_atom": 147, "density_g_cm3": 2.864, "dft_energy_ev_per_cell": -5.23}

{"formula": "BaLi5", "functional": "GGA-PBE", "state": "relaxed", "cell": [[3.8305, 0.0000, 0.0000], [0.0000, 3.8305, 0.0000], [0.0000, 0.0000, 11.2436]], "species": ["Ba", "Li", "Li", "Li", "Li", "Li"], "frac_coords": [[0.0000, 0.0000, 0.0000], [0.0000, 0.0000, 0.3596], [0.0000, 0.0000, 0.6404], [0.5000, 0.5000, 0.2340], [0.5000, 0.5000, 0.5000], [0.5000, 0.5000, 0.7660]], "total_magnetization_mub_per_fu": 0.00, "formation_enthalpy_0k_ev_per_atom": 0.059, "de_polymorph_mev_per_atom": 29, "density_g_cm3": 1.732, "dft_energy_ev_per_cell": -11.14}

{"formula": "Ba2Li", "functional": "GGA-PBE", "state": "relaxed", "cell": [[-2.2105, 2.2105, 7.6142], [2.2105, -2.2105, 7.6142], [2.2105, 2.2105, -7.6142]], "species": ["Ba", "Ba", "Li"], "frac_coords": [[0.1399, 0.1399, 0.0000], [0.8601, 0.8601, 0.0000], [0.5000, 0.5000, 0.0000]], "total_magnetization_mub_per_fu": 0.00, "formation_enthalpy_0k_ev_per_atom": 0.031, "de_polymorph_mev_per_atom": 0, "density_g_cm3": 3.142, "dft_energy_ev_per_cell": -5.67}

{"formula": "Ba5Li4", "functional": "GGA-PBE", "state": "relaxed", "cell": [[-5.6853, 5.6853, 3.1298], [5.6853, -5.6853, 3.1298], [5.6853, 5.6853, -3.1298]], "species": ["Ba", "Ba", "Ba", "Ba", "Ba", "Li", "Li", "Li", "Li"], "frac_coords": [[0.0000, 0.0000, 0.0000], [0.3210, 0.3210, 0.6421], [0.3210, 0.6790, 0.0000], [0.6790, 0.3210, 0.0000], [0.6790, 0.6790, 0.3579], [0.0000, 0.3637, 0.3637], [0.0000, 0.6363, 0.6363], [0.3637, 0.0000, 0.3637], [0.6363, 0.0000, 0.6363]], "total_magnetization_mub_per_fu": 0.00, "formation_enthalpy_0k_ev_per_atom": 0.130, "de_polymorph_mev_per_atom": 53, "density_g_cm3": 2.932, "dft_energy_ev_per_cell": -16.10}

{"formula": "Ba2Li13", "functional": "GGA-PBE", "state": "relaxed", "cell": [[3.9312, 2.2697, 7.6034], [-3.9312, 2.2697, 7.6034], [0.0000, -4.5394, 7.6034]], "species": ["Ba", "Ba", "Li", "Li", "Li", "Li", "Li", "Li", "Li", "Li", "Li", "Li", "Li", "Li", "Li"], "frac_coords": [[0.1715, 0.1715, 0.1715], [0.8285, 0.8285, 0.8285], [0.0000, 0.0000, 0.0000], [0.1778, 0.1778, 0.5645], [0.1778, 0.5645, 0.1778], [0.3124, 0.3124, 0.6666], [0.3124, 0.6666, 0.3124], [0.3334, 0.6876, 0.6876], [0.4355, 0.8222, 0.8222], [0.5645, 0.1778, 0.1778], [0.6666, 0.3124, 0.3124], [0.6876, 0.3334, 0.6876], [0.6876, 0.6876, 0.3334], [0.8222, 0.4355, 0.8222], [0.8222, 0.8222, 0.4355]], "total_magnetization_mub_per_fu": 0.00, "formation_enthalpy_0k_ev_per_atom": 0.115, "density_g_cm3": 1.489, "dft_energy_ev_per_cell": -27.00}

{"formula": "BaLi3", "functional": "GGA-PBE", "state": "relaxed", "cell": [[5.1841, 0.0000, 0.0000], [0.0000, 5.1841, 0.0000], [0.0000, 0.0000, 5.1841]], "species": ["Ba", "Li", "Li", "Li"], "frac_coords": [[0.0000, 0.0000, 0.0000], [0.0000, 0.5000, 0.5000], [0.5000, 0.0000, 0.5000], [0.5000, 0.5000, 0.0000]], "total_magnetization_mub_per_fu": 1.27, "formation_enthalpy_0k_ev_per_atom": 0.192, "density_g_cm3": 1.885, "dft_energy_ev_per_cell": -6.90}

{"formula": "BaLi3", "functional": "GGA-PBE", "state": "relaxed", "cell": [[6.3159, 0.0000, 0.0000], [0.0000, 6.3159, 0.0000], [0.0000, 0.0000, 6.3159]], "species": ["Ba", "Ba", "Li", "Li", "Li", "Li", "Li", "Li"], "frac_coords": [[0.0000, 0.0000, 0.0000], [0.5000, 0.5000, 0.5000], [0.0000, 0.2500, 0.5000], [0.0000, 0.7500, 0.5000], [0.2500, 0.5000, 0.0000], [0.5000, 0.0000, 0.2500], [0.5000, 0.0000, 0.7500], [0.7500, 0.5000, 0.0000]], "total_magnetization_mub_per_fu": 0.00, "formation_enthalpy_0k_ev_per_atom": 0.105, "density_g_cm3": 2.085, "dft_energy_ev_per_cell": -14.49}

{"formula": "Ba3Li", "functional": "GGA-PBE", "state": "relaxed", "cell": [[-2.2876, 3.4231, 6.7798], [2.2876, -3.4231, 6.7798], [2.2876, 3.4231, -6.7798]], "species": ["Ba", "Ba", "Ba", "Li"], "frac_coords": [[0.0000, 0.0000, 0.0000], [0.2881, 0.7881, 0.5000], [0.7119, 0.2119, 0.5000], [0.5000, 0.5000, 0.0000]], "total_magnetization_mub_per_fu": 0.00, "formation_enthalpy_0k_ev_per_atom": 0.053, "density_g_cm3": 3.276, "dft_energy_ev_per_cell": -7.47}

{"formula": "Ba2Li", "functional": "GGA-PBE", "state": "relaxed", "cell": [[-4.5265, 4.5265, 3.6923], [4.5265, -4.5265, 3.6923], [4.5265, 4.5265, -3.6923]], "species": ["Ba", "Ba", "Ba", "Ba", "Li", "Li"], "frac_coords": [[0.1657, 0.6657, 0.8314], [0.3343, 0.1657, 0.5000], [0.6657, 0.8343, 0.5000], [0.8343, 0.3343, 0.1686], [0.2500, 0.2500, 0.0000], [0.7500, 0.7500, 0.0000]], "total_magnetization_mub_per_fu": 0.00, "formation_enthalpy_0k_ev_per_atom": 0.037, "de_polymorph_mev_per_atom": 5, "density_g_cm3": 3.090, "dft_energy_ev_per_cell": -11.30}

{"formula": "Ba6Li23", "functional": "GGA-PBE", "state": "relaxed", "cell": [[0.0000, 7.5668, 7.5668], [7.5668, 0.0000, 7.5668], [7.5668, 7.5668, 0.0000]], "species": ["Ba", "Ba", "Ba", "Ba", "Ba", "Ba", "Li", "Li", "Li", "Li", "Li", "Li", "Li", "Li", "Li", "Li", "Li", "Li", "Li", "Li", "Li", "Li", "Li", "Li", "Li", "Li", "Li", "Li", "Li"], "frac_coords": [[0.2070, 0.2070, 0.7930], [0.2070, 0.7930, 0.2070], [0.2070, 0.7930, 0.7930], [0.7930, 0.2070, 0.2070], [0.7930, 0.2070, 0.7930], [0.7930, 0.7930, 0.2070], [0.0000, 0.0000, 0.5000], [0.0000, 0.5000, 0.0000], [0.0000, 0.5000, 0.5000], [0.1291, 0.6236, 0.6236], [0.1795, 0.1795, 0.1795], [0.1795, 0.1795, 0.4615], [0.1795, 0.4615, 0.1795], [0.3764, 0.3764, 0.3764], [0.3764, 0.3764, 0.8709], [0.3764, 0.8709, 0.3764], [0.4615, 0.1795, 0.1795], [0.5000, 0.0000, 0.0000], [0.5000, 0.0000, 0.5000], [0.5000, 0.5000, 0.0000], [0.5000, 0.5000, 0.5000], [0.5385, 0.8205, 0.8205], [0.6236, 0.1291, 0.6236], [0.6236, 0.6236, 0.1291], [0.6236, 0.6236, 0.6236], [0.8205, 0.5385, 0.8205], [0.8205, 0.8205, 0.5385], [0.8205, 0.8205, 0.8205], [0.8709, 0.3764, 0.3764]], "total_magnetization_mub_per_fu": 1.10, "formation_enthalpy_0k_ev_per_atom": 0.027, "density_g_cm3": 1.885, "dft_energy_ev_per_cell": -54.77}

{"formula": "BaLi", "functional": "GGA-PBE", "state": "relaxed", "cell": [[0.0000, 4.2439, 4.2439], [4.2439, 0.0000, 4.2439], [4.2439, 4.2439, 0.0000]], "species": ["Ba", "Ba", "Li", "Li"], "frac_coords": [[0.1250, 0.1250, 0.1250], [0.8750, 0.8750, 0.8750], [0.3750, 0.3750, 0.3750], [0.6250, 0.6250, 0.6250]], "total_magnetization_mub_per_fu": 0.00, "formation_enthalpy_0k_ev_per_atom": 0.138, "de_polymorph_mev_per_atom": 96, "density_g_cm3": 3.134, "dft_energy_ev_per_cell": -7.12}

{"formula": "BaLi5", "functional": "GGA-PBE", "state": "relaxed", "cell": [[2.7910, -5.7884, 0.0000], [2.7910, 5.7884, 0.0000], [0.0000, 0.0000, 5.2962]], "species": ["Ba", "Li", "Li", "Li", "Li", "Li"], "frac_coords": [[0.0000, 0.0000, 0.0000], [0.2244, 0.7756, 0.5000], [0.3194, 0.6806, 0.0000], [0.5000, 0.5000, 0.5000], [0.6806, 0.3194, 0.0000], [0.7756, 0.2244, 0.5000]], "total_magnetization_mub_per_fu": 0.00, "formation_enthalpy_0k_ev_per_atom": 0.081, "de_polymorph_mev_per_atom": 52, "density_g_cm3": 1.669, "dft_energy_ev_per_cell": -11.01}

{"formula": "Ba5Li2", "functional": "GGA-PBE", "state": "relaxed", "cell": [[-2.1374, 2.1374, 19.7441], [2.1374, -2.1374, 19.7441], [2.1374, 2.1374, -19.7441]], "species": ["Ba", "Ba", "Ba", "Ba", "Ba", "Li", "Li"], "frac_coords": [[0.0000, 0.0000, 0.0000], [0.1727, 0.1727, 0.0000], [0.4141, 0.4141, 0.0000], [0.5859, 0.5859, 0.0000], [0.8273, 0.8273, 0.0000], [0.2650, 0.2650, 0.0000], [0.7350, 0.7350, 0.0000]], "total_magnetization_mub_per_fu": 0.00, "formation_enthalpy_0k_ev_per_atom": 0.044, "density_g_cm3": 3.224, "dft_energy_ev_per_cell": -13.13}

{"formula": "BaLi3", "functional": "GGA-PBE", "state": "relaxed", "cell": [[5.2480, 0.0000, 0.0000], [0.0000, 7.0639, 0.0000], [0.0000, 0.0000, 7.0838]], "species": ["Ba", "Ba", "Li", "Li", "Li", "Li", "Li", "Li"], "frac_coords": [[0.2500, 0.2500, 0.1141], [0.7500, 0.7500, 0.8859], [0.2500, 0.0339, 0.6098], [0.2500, 0.4661, 0.6098], [0.2500, 0.7500, 0.3100], [0.7500, 0.2500, 0.6900], [0.7500, 0.5339, 0.3902], [0.7500, 0.9661, 0.3902]], "total_magnetization_mub_per_fu": 0.00, "formation_enthalpy_0k_ev_per_atom": 0.045, "density_g_cm3": 2.000, "dft_energy_ev_per_cell": -14.97}

{"formula": "Ba2Li", "functional": "GGA-PBE", "state": "relaxed", "cell": [[0.0000, 5.5773, 5.5773], [5.5773, 0.0000, 5.5773], [5.5773, 5.5773, 0.0000]], "species": ["Ba", "Ba", "Ba", "Ba", "Li", "Li"], "frac_coords": [[0.0000, 0.0000, 0.0000], [0.0000, 0.0000, 0.5000], [0.0000, 0.5000, 0.0000], [0.5000, 0.0000, 0.0000], [0.3750, 0.3750, 0.3750], [0.6250, 0.6250, 0.6250]], "total_magnetization_mub_per_fu": 0.59, "formation_enthalpy_0k_ev_per_atom": 0.400, "de_polymorph_mev_per_atom": 369, "density_g_cm3": 2.695, "dft_energy_ev_per_cell": -9.12}

{"formula": "BaLi", "functional": "GGA-PBE", "state": "relaxed", "cell": [[7.0810, 0.0000, 0.0000], [0.0000, 7.0810, 0.0000], [0.0000, 0.0000, 7.0810]], "species": ["Ba", "Ba", "Ba", "Ba", "Li", "Li", "Li", "Li"], "frac_coords": [[0.0870, 0.4130, 0.5870], [0.4130, 0.5870, 0.0870], [0.5870, 0.0870, 0.4130], [0.9130, 0.9130, 0.9130], [0.0962, 0.9038, 0.4038], [0.4038, 0.0962, 0.9038], [0.5962, 0.5962, 0.5962], [0.9038, 0.4038, 0.0962]], "total_magnetization_mub_per_fu": 0.00, "formation_enthalpy_0k_ev_per_atom": 0.117, "de_polymorph_mev_per_atom": 74, "density_g_cm3": 2.699, "dft_energy_ev_per_cell": -14.41}

{"formula": "Ba5Li", "functional": "GGA-PBE", "state": "relaxed", "cell": [[0.0000, 5.7716, 5.7716], [5.7716, 0.0000, 5.7716], [5.7716, 5.7716, 0.0000]], "species": ["Ba", "Ba", "Ba", "Ba", "Ba", "Li"], "frac_coords": [[0.0000, 0.0000, 0.0000], [0.1256, 0.6248, 0.6248], [0.6248, 0.1256, 0.6248], [0.6248, 0.6248, 0.1256], [0.6248, 0.6248, 0.6248], [0.2500, 0.2500, 0.2500]], "total_magnetization_mub_per_fu": 0.00, "formation_enthalpy_0k_ev_per_atom": 0.253, "de_polymorph_mev_per_atom": 225, "density_g_cm3": 2.995, "dft_energy_ev_per_cell": -10.01}

{"formula": "BaLi3", "functional": "GGA-PBE", "state": "relaxed", "cell": [[5.4956, 3.1729, 1.2336], [-5.4956, 3.1729, 1.2336], [0.0000, -6.3458, 1.2336]], "species": ["Ba", "Li", "Li", "Li"], "frac_coords": [[0.0000, 0.0000, 0.0000], [0.0000, 0.5000, 0.5000], [0.5000, 0.0000, 0.5000], [0.5000, 0.5000, 0.0000]], "total_magnetization_mub_per_fu": 0.34, "formation_enthalpy_0k_ev_per_atom": 0.185, "density_g_cm3": 2.035, "dft_energy_ev_per_cell": -6.92}

{"formula": "Ba5Li", "functional": "GGA-PBE", "state": "relaxed", "cell": [[4.4271, 0.0000, 0.0000], [0.0000, 4.4271, 0.0000], [0.0000, 0.0000, 17.4999]], "species": ["Ba", "Ba", "Ba", "Ba", "Ba", "Li"], "frac_coords": [[0.0000, 0.0000, 0.0000], [0.0000, 0.0000, 0.3778], [0.0000, 0.0000, 0.6222], [0.5000, 0.5000, 0.1886], [0.5000, 0.5000, 0.8114], [0.5000, 0.5000, 0.5000]], "total_magnetization_mub_per_fu": 0.00, "formation_enthalpy_0k_ev_per_atom": 0.027, "de_polymorph_mev_per_atom": 0, "density_g_cm3": 3.358, "dft_energy_ev_per_cell": -11.36}

{"formula": "BaLi3", "functional": "GGA-PBE", "state": "relaxed", "cell": [[3.9410, 0.0000, 0.0000], [0.0000, 3.9410, 0.0000], [0.0000, 0.0000, 7.9654]], "species": ["Ba", "Li", "Li", "Li"], "frac_coords": [[0.0000, 0.0000, 0.0000], [0.0000, 0.0000, 0.5000], [0.5000, 0.5000, 0.3207], [0.5000, 0.5000, 0.6793]], "total_magnetization_mub_per_fu": 0.00, "formation_enthalpy_0k_ev_per_atom": 0.068, "density_g_cm3": 2.123, "dft_energy_ev_per_cell": -7.39}

{"formula": "Ba5Li4", "functional": "GGA-PBE", "state": "relaxed", "cell": [[11.0842, 0.0000, 0.0000], [-5.5421, 9.5992, 0.0000], [0.0000, 0.0000, 7.9239]], "species": ["Ba", "Ba", "Ba", "Ba", "Ba", "Ba", "Ba", "Ba", "Ba", "Ba", "Li", "Li", "Li", "Li", "Li", "Li", "Li", "Li"], "frac_coords": [[0.0000, 0.2780, 0.2500], [0.0000, 0.7220, 0.7500], [0.2780, 0.0000, 0.2500], [0.2780, 0.2780, 0.7500], [0.3333, 0.6667, 0.0000], [0.3333, 0.6667, 0.5000], [0.6667, 0.3333, 0.0000], [0.6667, 0.3333, 0.5000], [0.7220, 0.0000, 0.7500], [0.7220, 0.7220, 0.2500], [0.0000, 0.0000, 0.0000], [0.0000, 0.0000, 0.5000], [0.0000, 0.3836, 0.7500], [0.0000, 0.6164, 0.2500], [0.3836, 0.0000, 0.7500], [0.3836, 0.3836, 0.2500], [0.6164, 0.0000, 0.2500], [0.6164, 0.6164, 0.7500]], "total_magnetization_mub_per_fu": 0.00, "formation_enthalpy_0k_ev_per_atom": 0.076, "de_polymorph_mev_per_atom": 0, "density_g_cm3": 2.814, "dft_energy_ev_per_cell": -33.16}

{"formula": "BaLi", "functional": "GGA-PBE", "state": "relaxed", "cell": [[6.8013, -2.0640, 0.0000], [6.8013, 2.0640, 0.0000], [-2.2391, 0.0000, 5.9485]], "species": ["Ba", "Ba", "Li", "Li"], "frac_coords": [[0.1014, 0.1014, 0.3238], [0.8986, 0.8986, 0.6762], [0.3380, 0.3380, 0.1234], [0.6620, 0.6620, 0.8766]], "total_magnetization_mub_per_fu": 0.00, "formation_enthalpy_0k_ev_per_atom": 0.060, "de_polymorph_mev_per_atom": 18, "density_g_cm3": 2.869, "dft_energy_ev_per_cell": -7.43}

{"formula": "BaLi", "functional": "GGA-PBE", "state": "relaxed", "cell": [[10.0920, 0.0000, 0.0000], [-5.0460, 8.7399, 0.0000], [0.0000, 0.0000, 5.9286]], "species": ["Ba", "Ba", "Ba", "Ba", "Ba", "Ba", "Li", "Li", "Li", "Li", "Li", "Li"], "frac_coords": [[0.1786, 0.3572, 0.2500], [0.1786, 0.8214, 0.2500], [0.3572, 0.1786, 0.7500], [0.6428, 0.8214, 0.2500], [0.8214, 0.1786, 0.7500], [0.8214, 0.6428, 0.7500], [0.1355, 0.5677, 0.7500], [0.4323, 0.5677, 0.7500], [0.4323, 0.8645, 0.7500], [0.5677, 0.1355, 0.2500], [0.5677, 0.4323, 0.2500], [0.8645, 0.4323, 0.2500]], "total_magnetization_mub_per_fu": 0.00, "formation_enthalpy_0k_ev_per_atom": 0.078, "de_polymorph_mev_per_atom": 35, "density_g_cm3": 2.749, "dft_energy_ev_per_cell": -22.08}